Compound: InFeAs2O8
Source: Alexandria
Functional: GGA+U
Structure: optimized geometry

electronic total energy = -6.034 eV per atom
volume = 288.0 Å³ per cell

The structure in CIF format:
```
data_InFeAs2O8
_cell_length_a 6.808
_cell_length_b 6.808
_cell_length_c 6.215
_cell_angle_alpha 90.00
_cell_angle_beta 90.00
_cell_angle_gamma 90.00
_space_group_name_H-M_alt 'I -4 m 2'
_space_group_IT_number 119
_space_group_name_Hall 'I -4 -2'
loop_
_atom_site_label
_atom_site_type_symbol
_atom_site_fract_x
_atom_site_fract_y
_atom_site_fract_z
In1 In 0.000 0.000 0.000
Fe1 Fe 0.000 0.500 0.750
As1 As 0.000 0.000 0.500
As2 As 0.000 0.500 0.250
O1 O 0.000 0.191 0.683
O2 O 0.000 0.318 0.058
```